Record 1
# SrUZn17, relaxed, DFT PBE
# energy relative to the elements	-108	meV per atom
# magnetization	7.93	μB per cell
# DOS(E_F)	0.61	states/eV per atom
data_SrUZn17
_chemical_formula_sum 'Sr3 U3 Zn51'
_cell_length_a 9.0572
_cell_length_b 9.0572
_cell_length_c 13.3310
_cell_angle_alpha 90.00
_cell_angle_beta 90.00
_cell_angle_gamma 120.00
_space_group_name_H-M_alt 'R 3 m'
_space_group_IT_number 160
_space_group_name_Hall 'R 3 -2"'
loop_
_atom_site_label
_atom_site_type_symbol
_atom_site_fract_x
_atom_site_fract_y
_atom_site_fract_z
Sr1 Sr 0.0000 0.0000 0.0000
U1 U 0.0000 0.0000 0.3265
Zn1 Zn 0.0000 0.0000 0.5597
Zn2 Zn 0.0000 0.0000 0.7578
Zn3 Zn 0.9997 0.4998 0.1623
Zn4 Zn 0.0013 0.5006 0.8146
Zn5 Zn 0.0399 0.3709 0.3291
Zn6 Zn 0.1740 0.3480 0.8440

---

Record 2
# PaHgPbAu, relaxed, DFT PBE
# energy relative to the elements	-58	meV per atom
# magnetization	1.24	μB per cell
# DOS(E_F)	0.98	states/eV per atom
data_PaHgPbAu
_chemical_formula_sum 'Pa4 Hg4 Pb4 Au4'
_cell_length_a 7.286
_cell_length_b 7.286
_cell_length_c 7.286
_cell_angle_alpha 90.00
_cell_angle_beta 90.00
_cell_angle_gamma 90.00
_space_group_name_H-M_alt 'F -4 3 m'
_space_group_IT_number 216
_space_group_name_Hall 'F -4 2 3'
loop_
_atom_site_label
_atom_site_type_symbol
_atom_site_fract_x
_atom_site_fract_y
_atom_site_fract_z
Pa1 Pa 0.000 0.000 0.000
Hg1 Hg 0.250 0.250 0.250
Pb1 Pb 0.000 0.000 0.500
Au1 Au 0.250 0.250 0.750

---

Record 3
# MgAs, relaxed, DFT PBE
# energy relative to the elements	-401	meV per atom
# magnetization	0.00	μB per cell
# DOS(E_F)	0.26	states/eV per atom
data_MgAs
_chemical_formula_sum 'Mg9 As9'
_cell_length_a 6.9804
_cell_length_b 6.9804
_cell_length_c 9.3535
_cell_angle_alpha 90.00
_cell_angle_beta 90.00
_cell_angle_gamma 120.00
_space_group_name_H-M_alt 'R 3 2'
_space_group_IT_number 155
_space_group_name_Hall 'R 3 2"'
loop_
_atom_site_label
_atom_site_type_symbol
_atom_site_fract_x
_atom_site_fract_y
_atom_site_fract_z
Mg1 Mg 0.0000 0.3633 0.0000
As1 As 0.0000 0.0000 0.1357
As2 As 0.0000 0.0000 0.5000

---

Q: Which calculated density values were calculated for the entries above? A: 7.56 14.35 3.76, in g/cm3.